A plane-wave DFT calculation with PBE was carried out for an optimized crystal structure of Ce6PuSi2.

Computed properties:
- DOS at the Fermi energy (states/eV/f.u.) = 18.2
- E_form (uncorrected) (meV per atom) = -323

Cell: 6.8514 6.8514 5.2568 Å, 90.00 90.00 120.00°
Space group P-3m1 (No. 164)
Unique sites:
1 Ce 0.1756 0.3512 0.2505 [6 per cell]
2 Pu 0.0000 0.0000 0.0000 [1 per cell]
3 Si 0.3333 0.6667 0.7447 [2 per cell]

---

A plane-wave DFT calculation with PBE was carried out for an optimized crystal structure of KNbAg2N.

Computed properties:
- DOS at the Fermi energy (states/eV/f.u.) = 2.4
- E_form (uncorrected) (meV per atom) = 428

Cell: 5.551 5.551 4.021 Å, 90.00 90.00 90.00°
Space group P4/mmm (No. 123)
Unique sites:
1 K 0.000 0.000 0.000 [1 per cell]
2 Nb 0.500 0.500 0.500 [1 per cell]
3 Ag 0.000 0.500 0.500 [2 per cell]
4 N 0.500 0.500 0.000 [1 per cell]

---

A plane-wave DFT calculation with PBE was carried out for an optimized crystal structure of Mg3Tc5.

Computed properties:
- energy of formation from the pure elements (eV per atom) = 0.32
- DOS at the Fermi energy (states/eV/f.u.) = 5.7
- ΔE to the lowest computed polymorph (kJ per mole of atoms) = 7.9

Cell: 4.996 13.892 7.943 Å, 90.00 105.64 90.00°
Space group C2/m (No. 12)
Unique sites:
1 Mg 0.000 0.187 0.000 [4 per cell]
2 Mg 0.000 0.223 0.500 [4 per cell]
3 Mg 0.223 0.500 0.393 [4 per cell]
4 Tc 0.084 0.352 0.178 [8 per cell]
5 Tc 0.199 0.089 0.289 [8 per cell]
6 Tc 0.230 0.000 0.954 [4 per cell]